Below is Cu2AgPtN after structural relaxation, with properties calculated at the GGA-PBE level.

Summary:
VASP energy, eV per atom: -4.344
Calculated density, g/cm3: 8.4
V, Å³ per cell: 88.2
Total moment, μB per atom: 0.00
E_form (uncorrected), eV per atom: 0.738
DOS(E_F), states/eV per cell: 1.4

Cell: 4.915 3.651 4.915 Å, 90.00 90.00 90.00°
Positions (direct):
Cu 0.000 0.000 0.500
Cu 0.500 0.000 0.000
Ag 0.500 0.500 0.500
Pt 0.000 0.000 0.000
N 0.000 0.500 0.000